Record 1
Here is an optimized crystal structure of BaCoF from Alexandria via LeMat-Bulk. Energies are from GGA+U.

## Properties
* calculated volume: 278.8 Å³/cell
* M_tot: 0.666 μB/atom
* space group: Imma (74)
* total DFT energy (no corrections): -0.3056 Ry/atom

Cell and atoms, written as extended XYZ:
```
12
Lattice="-0.608 -0.125 -7.608 5.529 -1.776 -0.413 -1.900 -5.974 0.250" Properties=species:S:1:pos:R:3 pbc="T T T"
Co 2.319 -6.184 -3.914
F 1.510 -3.938 -3.886
F -1.254 -3.049 -3.679
Ba 3.216 -2.919 -5.953
F 0.000 0.000 0.000
Ba -0.195 -4.956 -1.818
Co 2.820 -5.504 -0.135
Ba -0.499 -5.018 -5.622
F 2.765 -0.888 -0.206
Co 0.701 -1.691 -3.858
Co 0.201 -2.371 -7.636
Ba 3.520 -2.857 -2.149
```

---

Record 2
Here is an optimized crystal structure of BaCoF from Alexandria via LeMat-Bulk. Energies are from GGA+U.

## Properties
* calculated volume: 151.6 Å³/cell
* M_tot: 0.000 μB/atom
* space group: P6_3/mmc (194)
* total DFT energy (no corrections): -0.2667 Ry/atom

Cell and atoms, written as extended XYZ:
```
6
Lattice="-1.936 3.380 2.696 -1.870 -1.014 -4.233 -4.643 -5.310 3.323" Properties=species:S:1:pos:R:3 pbc="T T T"
Co 0.000 0.000 0.000
F -1.161 -1.328 0.831
Ba -5.396 -2.067 2.879
Ba -3.053 -0.877 -1.092
F -3.482 -3.983 2.492
Co -2.322 -2.655 1.662
```

---

Record 3
Here is an optimized crystal structure of Ba2CoF6 from Alexandria via LeMat-Bulk. Energies are from GGA+U.

## Properties
* calculated volume: 313.5 Å³/cell
* M_tot: 0.333 μB/atom
* space group: P2_1/c (14)
* total DFT energy (no corrections): -0.4055 Ry/atom

Cell and atoms, written as extended XYZ:
```
18
Lattice="6.555 -0.064 0.000 -1.680 6.388 0.000 0.000 0.000 7.506" Properties=species:S:1:pos:R:3 pbc="T T T"
F 5.077 3.633 5.511
Ba 1.831 1.103 0.822
F 3.760 2.970 0.569
Ba 3.044 5.221 6.684
Ba 4.269 4.265 2.931
F 1.116 3.355 6.937
F 5.233 0.129 4.322
F 2.639 0.471 5.748
F 6.028 1.186 6.954
Co -0.840 3.194 0.000
Ba 0.606 2.059 4.575
F -1.153 5.139 0.552
F -0.202 2.691 1.995
F 2.236 5.853 1.758
F -0.358 6.196 3.184
F 2.965 1.913 3.201
Co 3.278 -0.032 3.753
F 1.911 4.412 4.305
```

---

Record 4
Here is an optimized crystal structure of Ba4Co6F19 from Alexandria via LeMat-Bulk. Energies are from GGA+U.

## Properties
* calculated volume: 438.3 Å³/cell
* M_tot: 0.586 μB/atom
* space group: I23 (197)
* total DFT energy (no corrections): -0.3917 Ry/atom

Cell and atoms, written as extended XYZ:
```
29
Lattice="-0.864 -1.236 -8.150 7.880 1.946 1.679 -2.068 -6.913 4.077" Properties=species:S:1:pos:R:3 pbc="T T T"
F 1.238 -1.906 -3.543
Co 0.939 -3.831 -4.254
F 2.426 0.245 -2.238
F 0.000 0.000 0.000
Ba -1.377 -4.603 2.715
Co 1.901 -5.277 1.482
F 3.960 -2.112 -2.439
Co 4.009 -2.372 1.861
F 4.056 -1.105 0.208
Ba -0.575 -0.823 -5.426
F 5.526 0.711 -1.585
Ba 1.654 -2.073 -0.800
F 4.589 0.464 -4.233
F -1.014 -2.819 -1.409
F 1.329 -4.539 3.345
Ba 5.246 1.296 1.118
F -1.918 -5.331 -2.664
F 4.092 -2.070 -5.269
Co 3.047 -0.927 -3.876
F 3.802 -3.250 3.766
F 1.131 -4.435 -2.269
F 2.010 -1.718 1.991
Co -0.552 -4.856 -1.131
F -0.007 -6.856 -1.336
Co 5.500 -1.348 -1.262
F -1.080 -3.413 -4.554
F 0.416 -4.149 0.573
F 5.789 -3.455 1.829
F 3.236 -3.893 0.680
```

---

Record 5
Here is an optimized crystal structure of BaCoF from Alexandria via LeMat-Bulk. Energies are from GGA+U.

## Properties
* calculated volume: 77.4 Å³/cell
* M_tot: 0.667 μB/atom
* space group: F-43m (216)
* total DFT energy (no corrections): -0.2779 Ry/atom

Cell and atoms, written as extended XYZ:
```
3
Lattice="0.000 3.382 3.382 3.382 0.000 3.382 3.382 3.382 0.000" Properties=species:S:1:pos:R:3 pbc="T T T"
Co 1.691 1.691 1.691
Ba 5.073 5.073 5.073
F 0.000 0.000 0.000
```

---

Record 6
Here is an optimized crystal structure of Ba2FeCoF9 from Alexandria via LeMat-Bulk. Energies are from GGA+U.

## Properties
* calculated volume: 794.9 Å³/cell
* M_tot: 0.615 μB/atom
* space group: P2_1/c (14)
* total DFT energy (no corrections): -0.4037 Ry/atom

Cell and atoms, written as extended XYZ:
```
52
Lattice="17.957 0.000 0.000 0.000 5.786 -0.027 0.000 5.605 7.623" Properties=species:S:1:pos:R:3 pbc="T T T"
F 16.691 8.105 3.171
F 14.184 6.719 3.349
Co 16.386 4.128 2.101
F 17.388 7.162 5.619
F 9.548 4.360 1.807
Fe 2.242 4.386 3.126
F 3.497 7.549 5.298
F 5.482 4.747 1.486
F 6.066 8.381 5.547
Fe 6.736 7.188 6.938
F 0.569 4.229 1.977
F 10.245 10.907 6.983
Co 1.571 7.263 5.495
F 7.580 3.242 0.034
F 7.427 2.864 2.956
Fe 15.715 7.005 4.470
Co 10.549 6.931 5.913
F 11.891 3.010 2.050
Ba 8.312 4.180 5.254
Ba 12.894 4.383 4.421
Ba 5.063 7.008 3.176
F 7.712 0.484 0.614
F 12.751 9.521 7.161
F 3.773 4.673 4.247
F 11.918 5.782 1.533
F 2.913 5.579 1.735
F 16.559 5.346 3.751
F 10.377 8.149 7.563
F 2.939 2.807 2.252
F 14.460 3.842 2.298
Co 7.408 4.460 1.684
F 15.045 5.812 5.861
Ba 14.042 1.580 0.609
Ba 9.645 7.211 2.342
F 8.409 7.031 5.789
F 1.399 6.045 3.845
F 16.461 2.863 0.510
Ba 17.291 10.014 6.154
F 7.483 5.725 3.275
F 1.496 8.528 7.086
Ba 0.667 1.377 1.443
F 15.018 8.584 5.345
Fe 11.221 4.203 0.658
F 16.405 5.724 0.829
F 10.531 8.527 4.640
F 5.206 1.870 0.435
Ba 3.916 9.811 6.987
F 10.474 5.666 4.322
F 1.266 3.286 4.425
F 6.039 5.609 6.063
F 12.475 6.644 6.110
F 1.552 5.667 6.768
```

---

Record 7
Here is an optimized crystal structure of BaFeCo2F8 from Alexandria via LeMat-Bulk. Energies are from GGA+U.

## Properties
* calculated volume: 183.1 Å³/cell
* M_tot: 0.833 μB/atom
* space group: P-1 (2)
* total DFT energy (no corrections): -0.3903 Ry/atom

Cell and atoms, written as extended XYZ:
```
12
Lattice="4.546 0.159 -0.067 0.202 5.107 0.231 -0.079 0.323 7.916" Properties=species:S:1:pos:R:3 pbc="T T T"
F 2.043 1.597 3.323
F 2.626 3.991 4.757
Co 2.407 3.066 6.470
F 1.536 1.811 7.863
F 0.736 4.230 6.621
Fe 0.000 0.000 0.000
F 0.924 3.944 1.921
F 3.933 1.358 1.459
F 3.745 1.645 6.159
F 3.133 3.777 0.217
Ba -0.040 0.161 3.958
Co 2.262 2.523 1.610
```

---

Record 8
Here is an optimized crystal structure of BaGaCo2F8 from Alexandria via LeMat-Bulk. Energies are from GGA+U.

## Properties
* calculated volume: 184.2 Å³/cell
* M_tot: 0.417 μB/atom
* space group: P-1 (2)
* total DFT energy (no corrections): -0.3669 Ry/atom

Cell and atoms, written as extended XYZ:
```
12
Lattice="-1.912 0.524 4.278 -4.593 -1.743 -1.539 1.183 -7.467 1.325" Properties=species:S:1:pos:R:3 pbc="T T T"
F -3.634 -2.749 -0.204
Ga 0.000 0.000 0.000
Co -2.891 -1.830 1.578
F -0.518 -7.632 2.290
F -4.804 -1.054 1.774
F -1.604 -3.306 1.980
F -1.688 -5.937 4.268
F -2.989 -7.527 0.550
Ba 0.591 -3.734 0.663
F -3.718 -5.380 2.084
F -2.333 -1.159 3.514
Co -2.431 -6.856 2.486
```

---

Record 9
Here is an optimized crystal structure of Ba2CoHF6 from Alexandria via LeMat-Bulk. Energies are from GGA+U.

## Properties
* calculated volume: 162.0 Å³/cell
* M_tot: 0.402 μB/atom
* space group: P-1 (2)
* total DFT energy (no corrections): -0.3693 Ry/atom

Cell and atoms, written as extended XYZ:
```
10
Lattice="6.471 -0.008 -0.019 0.004 5.799 0.498 3.216 3.262 4.588" Properties=species:S:1:pos:R:3 pbc="T T T"
H 3.237 2.895 0.239
F 5.820 5.786 2.415
F 8.642 7.360 4.598
Co 0.000 0.000 0.000
F 1.685 4.734 0.961
Ba 6.469 3.018 2.437
F 3.870 3.266 2.651
F 8.006 4.318 4.105
Ba 3.222 6.034 2.629
F 1.048 1.692 0.469
```

---

Record 10
Here is an optimized crystal structure of BaHfCo2F from Alexandria via LeMat-Bulk. Energies are from GGA+U.

## Properties
* calculated volume: 110.2 Å³/cell
* M_tot: 0.592 μB/atom
* space group: P4/mmm (123)
* total DFT energy (no corrections): -0.3315 Ry/atom

Cell and atoms, written as extended XYZ:
```
5
Lattice="-2.828 1.947 -3.340 -3.820 -0.695 2.829 0.663 4.322 1.957" Properties=species:S:1:pos:R:3 pbc="T T T"
Co 0.332 2.161 0.978
Ba -1.910 -0.347 1.415
Co -1.414 0.973 -1.670
Hf -2.992 2.787 0.723
F 0.000 0.000 0.000
```

---

Record 11
Here is an optimized crystal structure of KBa2Co3F12 from Alexandria via LeMat-Bulk. Energies are from GGA+U.

## Properties
* calculated volume: 275.3 Å³/cell
* M_tot: 0.556 μB/atom
* space group: R-3m (166)
* total DFT energy (no corrections): -0.3742 Ry/atom

Cell and atoms, written as extended XYZ:
```
18
Lattice="7.161 -0.142 -0.101 3.413 6.297 -0.101 3.413 1.987 5.976" Properties=species:S:1:pos:R:3 pbc="T T T"
Co 3.580 -0.071 -0.050
K 0.000 0.000 0.000
F 5.879 5.950 4.221
Co 1.706 3.148 -0.050
F 5.909 5.968 1.554
Ba 5.393 3.139 2.227
F 8.078 4.702 0.656
F 5.909 3.439 5.119
F 10.604 4.431 4.988
F 9.090 7.033 4.988
F 8.107 2.191 1.554
F 3.382 3.710 0.786
F 3.382 1.969 3.242
Ba 8.593 5.002 3.548
F 4.897 1.108 0.786
F 8.078 2.173 4.221
F 10.604 6.173 2.533
Co 1.706 0.993 2.988
```

---

Record 12
Here is an optimized crystal structure of KBa2CoF8 from Alexandria via LeMat-Bulk. Energies are from GGA+U.

## Properties
* calculated volume: 213.9 Å³/cell
* M_tot: 0.169 μB/atom
* space group: P-1 (2)
* total DFT energy (no corrections): -0.3717 Ry/atom

Cell and atoms, written as extended XYZ:
```
12
Lattice="4.541 -0.437 -0.049 -0.424 5.661 0.050 -0.077 0.083 8.384" Properties=species:S:1:pos:R:3 pbc="T T T"
Ba 1.969 2.754 6.346
Co 0.000 0.000 0.000
F 2.514 4.316 0.026
K -0.038 0.041 4.192
F 4.177 0.937 1.580
F 0.055 4.479 1.424
F 1.526 0.990 8.358
F -0.136 4.369 6.804
F 2.371 1.297 4.267
F 1.669 4.009 4.118
F 3.985 0.827 6.960
Ba 2.071 2.552 2.038
```

---

Record 13
Here is an optimized crystal structure of BaLiCoF6 from Alexandria via LeMat-Bulk. Energies are from GGA+U.

## Properties
* calculated volume: 495.8 Å³/cell
* M_tot: 0.440 μB/atom
* space group: P2_1/c (14)
* total DFT energy (no corrections): -0.3749 Ry/atom

Cell and atoms, written as extended XYZ:
```
36
Lattice="10.329 0.000 0.000 0.000 5.624 -0.001 0.000 0.184 8.535" Properties=species:S:1:pos:R:3 pbc="T T T"
F 6.509 0.727 6.974
Li 0.758 1.362 2.642
Ba 3.089 3.942 4.238
F 1.022 5.062 2.429
Co 0.840 1.390 6.258
F 7.691 3.543 2.113
F 6.218 4.967 4.742
F 0.047 3.054 6.975
F 5.212 2.846 5.826
F 9.307 0.746 6.105
F 1.054 0.933 8.059
F 6.108 3.972 8.316
Ba 2.075 4.034 8.505
F 5.117 2.962 2.708
F 10.282 2.754 1.559
F 1.344 5.173 5.828
F 6.186 0.654 1.837
Ba 7.240 1.866 4.296
F 3.820 5.081 1.560
Li 9.571 4.446 5.892
F 8.984 0.635 2.706
Li 4.406 1.454 6.909
Ba 8.253 1.774 0.028
Li 5.922 4.354 1.625
F 0.944 1.928 4.485
Co 9.489 4.418 2.276
F 4.221 1.836 0.218
F 2.527 2.173 2.154
Co 4.325 1.298 1.990
F 9.275 4.875 0.475
F 4.111 0.841 3.792
F 9.385 3.880 4.049
F 4.143 5.154 6.697
Co 6.004 4.510 6.544
F 7.802 3.635 6.380
F 2.637 2.265 6.421
```

---

Record 14
Here is an optimized crystal structure of Ba2LiCo3F12 from Alexandria via LeMat-Bulk. Energies are from GGA+U.

## Properties
* calculated volume: 265.1 Å³/cell
* M_tot: 0.556 μB/atom
* space group: R-3m (166)
* total DFT energy (no corrections): -0.3740 Ry/atom

Cell and atoms, written as extended XYZ:
```
18
Lattice="-2.871 6.216 1.779 -7.053 0.310 0.461 -2.814 0.549 6.468" Properties=species:S:1:pos:R:3 pbc="T T T"
Ba -7.841 4.355 5.360
F -2.987 3.710 1.961
F -4.976 4.872 5.950
Co -3.526 0.155 0.230
F -9.750 3.365 6.747
Ba -4.897 2.720 3.348
F -7.453 4.732 2.439
F -2.962 1.195 4.041
Co -1.407 0.274 3.234
F -5.285 2.342 6.268
F -7.419 1.420 5.179
F -7.762 2.203 2.758
F -7.895 5.985 7.332
F -9.776 5.879 4.667
F -5.318 5.655 3.528
F -4.843 1.089 1.376
Co -1.436 3.108 0.890
Li 0.000 0.000 0.000
```

---

Record 15
Here is an optimized crystal structure of BaLiCoF6 from Alexandria via LeMat-Bulk. Energies are from GGA+U.

## Properties
* calculated volume: 267.0 Å³/cell
* M_tot: 0.013 μB/atom
* space group: P-31c (163)
* total DFT energy (no corrections): -0.3703 Ry/atom

Cell and atoms, written as extended XYZ:
```
18
Lattice="5.262 0.000 0.000 -2.631 4.557 0.000 0.000 0.000 11.136" Properties=species:S:1:pos:R:3 pbc="T T T"
Co 2.631 1.519 2.784
Ba 0.000 0.000 5.568
F 3.509 2.775 3.862
F 4.158 1.651 1.706
F 1.982 0.130 1.706
F -0.649 4.427 7.274
F 1.752 2.775 1.706
Ba 0.000 0.000 0.000
Li 2.631 1.519 8.352
F -0.878 1.781 7.274
F -1.527 2.905 9.430
F 3.280 0.130 3.862
Li 0.000 3.038 2.784
Co 0.000 3.038 8.352
F 0.649 4.427 9.430
F 1.527 2.905 7.274
F 0.878 1.781 9.430
F 1.104 1.651 3.862
```

---

Record 16
Here is an optimized crystal structure of Ba2Li3CoF12 from Alexandria via LeMat-Bulk. Energies are from GGA+U.

## Properties
* calculated volume: 254.4 Å³/cell
* M_tot: 0.119 μB/atom
* space group: R-3m (166)
* total DFT energy (no corrections): -0.3446 Ry/atom

Cell and atoms, written as extended XYZ:
```
18
Lattice="-5.376 4.376 -0.429 -5.681 -1.678 3.625 -1.351 3.837 5.629" Properties=species:S:1:pos:R:3 pbc="T T T"
F -7.677 4.922 3.041
Ba -4.397 2.316 3.128
F -8.005 7.251 5.964
Li -0.675 1.919 2.814
F -4.402 -0.716 2.861
F -4.204 3.218 0.228
Li -2.840 -0.839 1.813
F -5.386 4.616 6.488
Li -2.688 2.188 -0.214
F -8.203 3.317 8.598
Co 0.000 0.000 0.000
F -1.589 2.868 4.163
Ba -8.010 4.219 5.698
F -7.021 1.919 2.338
F -7.850 1.477 5.348
F -10.818 3.667 4.663
F -4.731 1.613 5.785
F -4.557 5.058 3.478
```

---

Record 17
Here is an optimized crystal structure of BaMgCo2F8 from Alexandria via LeMat-Bulk. Energies are from GGA+U.

## Properties
* calculated volume: 178.6 Å³/cell
* M_tot: 0.500 μB/atom
* space group: P-1 (2)
* total DFT energy (no corrections): -0.3850 Ry/atom

Cell and atoms, written as extended XYZ:
```
12
Lattice="-1.833 -4.104 0.947 3.962 -1.501 2.685 -2.556 2.973 6.748" Properties=species:S:1:pos:R:3 pbc="T T T"
F 0.716 0.613 7.776
F 0.350 -1.649 6.402
F -2.590 -1.352 6.728
Ba -1.278 1.486 3.374
Co 0.488 -2.116 3.011
F -1.144 -3.245 2.604
F 1.605 -3.823 2.663
Co -0.916 -0.516 7.369
F -2.033 1.192 7.717
F -0.778 -0.982 3.978
Mg 0.000 0.000 0.000
F 2.162 -1.279 3.653
```